(1)
Density functional theory data (PBE-GGA) for a geometry-optimized EuMgBr2 structure.

Calculated values
E	-4.73	eV per atom
uncorrected formation energy	-89.0	kJ per mole of atoms
N(E_F)	0.583	states/eV/atom
space-group type	No. 166
ρ	4.12	Mg/m³

Cell and atoms, written as extended XYZ:
```
4
Lattice="-3.961 0.030 0.488 -1.746 -2.738 2.320 -0.901 5.034 8.696" Properties=species:S:1:pos:R:3 pbc="T T T"
Mg -3.304 1.163 5.752
Br -1.248 2.978 6.007
Eu 0.000 0.000 0.000
Br -5.360 -0.651 5.497
```

(2)
Density functional theory data (PBE-GGA) for a geometry-optimized Eu2MgBr structure.

Calculated values
E	-6.63	eV per atom
relative energy among the computed polymorphs	0	meV/atom
uncorrected formation energy	-65.6	kJ per mole of atoms
N(E_F)	3.026	states/eV/atom
space-group type	No. 166
ρ	5.08	Mg/m³

Cell and atoms, written as extended XYZ:
```
4
Lattice="-0.417 -2.424 -3.101 3.120 -0.847 -2.284 3.011 -8.792 3.941" Properties=species:S:1:pos:R:3 pbc="T T T"
Eu 1.390 -2.875 -0.466
Eu 4.324 -9.188 -0.978
Br 0.000 0.000 0.000
Mg 2.857 -6.031 -0.722
```

Which formula does entry 2 have?
Eu2MgBr

Among the records above, which one has the lowest uncorrected formation energy?
EuMgBr2